A geometry-optimized CoPdSeO structure. Source: the Open Quantum Materials Database, functional GGA+U.

Cell and atoms, written as POSCAR:
```
CoPdSeO
1.0
6.0304 0.0000 0.0000
0.0000 6.6033 0.0000
0.0000 0.0000 5.8001
O Co Se Pd
4 4 4 4
Cartesian
2.5071 6.3678 1.0698
5.5223 0.2355 1.0698
0.5081 6.3678 3.9698
3.5233 0.2355 3.9698
0.9073 5.7205 2.1173
5.1231 0.8828 5.0173
2.1079 5.7205 5.0173
3.9225 0.8828 2.1173
0.5711 3.9797 0.3944
2.4441 3.9797 3.2944
3.5863 2.6236 0.3944
5.4593 2.6236 3.2944
4.6553 4.9065 3.6687
4.3903 4.9065 0.7687
1.6401 1.6968 3.6687
1.3751 1.6968 0.7687
```

Values from the calculation:
Total magnetization ... 0.62 μB/atom
Raw total energy ... -5.039 eV/atom
Mass density ... 7.49 Mg/m³